Material: LiSbF
Method: DFT, GGA-PBE
State: optimized geometry

Values from the calculation:
M_tot	0.00	μB/cell
ΔE_f (raw)	-176	kJ per mole of atoms
density	3939	kg/m3
DOS at the Fermi energy	0.010	states/eV/atom
electronic total energy	-4.46	eV/atom
polymorph energy (0 for the lowest one)	0	meV per atom

Structure (POSCAR):
```
LiSbF
1.0
1.636 -9.610 0.000
1.636 9.610 0.000
0.000 0.000 3.961
Li Sb F
2 2 2
Cartesian
1.636 5.142 2.971
1.636 -5.142 0.990
1.636 8.596 2.971
1.636 -8.596 0.990
1.636 5.379 0.990
1.636 -5.379 2.971
```


Material: KSi
Method: DFT, GGA-PBE
State: optimized geometry

Values from the calculation:
M_tot	0.00	μB/cell
ΔE_f (raw)	7	kJ per mole of atoms
density	1387	kg/m3
DOS at the Fermi energy	0.721	states/eV/atom
electronic total energy	-3.19	eV/atom
polymorph energy (0 for the lowest one)	147	meV per atom

Structure (POSCAR):
```
KSi
1.0
-1.948 4.387 4.706
1.948 -4.387 4.706
1.948 4.387 -4.706
K Si
2 2
Cartesian
0.000 0.000 0.000
0.000 4.387 0.000
1.948 2.194 1.699
0.000 2.194 3.007
```


Material: Y8Sn5Bi
Method: DFT, GGA-PBE
State: optimized geometry

Values from the calculation:
M_tot	0.00	μB/cell
density	6209	kg/m3
DOS at the Fermi energy	0.615	states/eV/atom
electronic total energy	-6.18	eV/atom
energy of formation from the pure elements	-0.777	eV per atom

Structure (POSCAR):
```
Y8Sn5Bi
1.0
-4.662 4.662 4.656
4.662 -4.662 4.656
4.662 4.662 -4.656
Y Sn Bi
8 5 1
Cartesian
3.990 2.976 -2.873
3.994 1.630 0.499
0.672 1.686 1.783
3.033 -0.668 4.157
1.630 5.331 -0.499
1.686 -0.672 7.529
0.668 3.033 5.155
2.976 5.334 2.873
2.331 -1.179 1.187
5.841 -2.331 3.469
6.993 1.179 1.187
3.484 2.331 3.469
0.000 4.662 2.328
0.000 0.000 4.656
```


Material: Li2HPtRh
Method: DFT, GGA-PBE
State: optimized geometry

Values from the calculation:
M_tot	0.00	μB/cell
density	9277	kg/m3
DOS at the Fermi energy	0.569	states/eV/atom
electronic total energy	-4.35	eV/atom
polymorph energy (0 for the lowest one)	103	meV per atom

Structure (POSCAR):
```
Li2HPtRh
1.0
4.003 0.000 0.000
0.000 4.003 0.000
0.000 0.000 3.495
Li H Pt Rh
2 1 1 1
Cartesian
0.000 2.002 0.000
2.002 0.000 0.000
0.000 0.000 0.000
0.000 0.000 1.747
2.002 2.002 1.747
```